# VCrSiO6

Crystalline VCrSiO6 at its relaxed geometry (PBE+U, Alexandria via LeMat-Bulk).

a b c (Å): 4.784 4.784 8.664
angles (deg): 90.00 90.00 120.00
Fractional positions:
V  0.333  0.667  0.250
V  0.667  0.333  0.750
Cr  0.000  0.000  0.000
Cr  0.000  0.000  0.500
Si  0.333  0.667  0.750
Si  0.667  0.333  0.250
O  0.016  0.361  0.635
O  0.016  0.655  0.865
O  0.345  0.361  0.865
O  0.345  0.984  0.635
O  0.361  0.016  0.135
O  0.361  0.345  0.365
O  0.639  0.655  0.635
O  0.639  0.984  0.865
O  0.655  0.016  0.365
O  0.655  0.639  0.135
O  0.984  0.345  0.135
O  0.984  0.639  0.365

Values from the calculation:
The value obtained for the total magnetic moment is 3.0 μB/f.u. For the total DFT energy (no corrections), the calculation gives -68.7 eV/f.u. The space group is No. 163.